[1]
# Pa2SbSe

Pa2SbSe after structural relaxation (PBE, the Alexandria database).

Summary:
The energy above the most stable polymorph in this dataset comes out at 153 meV per atom. The space-group type is Pbcm. As for the calculated total energy: -7.33 eV per atom. Its raw formation energy is -65.7 kJ per mole of atoms.

Cell and atoms, written as CIF:
```
data_Pa2SbSe
_space_group_name_H-M_alt 'P 1'
_space_group_IT_number 1
_space_group_name_Hall 'P 1'
_cell_length_a 7.673
_cell_length_b 6.460
_cell_length_c 8.408
_cell_angle_alpha 90.00
_cell_angle_beta 90.00
_cell_angle_gamma 90.00
loop_
_atom_site_label
_atom_site_type_symbol
_atom_site_fract_x
_atom_site_fract_y
_atom_site_fract_z
_atom_site_occupancy
Pa1 Pa 0.110 0.250 0.000 1
Pa2 Pa 0.110 0.250 0.500 1
Pa3 Pa 0.352 0.750 0.000 1
Pa4 Pa 0.352 0.750 0.500 1
Pa5 Pa 0.648 0.250 0.000 1
Pa6 Pa 0.648 0.250 0.500 1
Pa7 Pa 0.890 0.750 0.000 1
Pa8 Pa 0.890 0.750 0.500 1
Sb1 Sb 0.379 0.099 0.250 1
Sb2 Sb 0.379 0.401 0.750 1
Sb3 Sb 0.621 0.599 0.250 1
Sb4 Sb 0.621 0.901 0.750 1
Se1 Se 0.121 0.581 0.250 1
Se2 Se 0.121 0.919 0.750 1
Se3 Se 0.879 0.081 0.250 1
Se4 Se 0.879 0.419 0.750 1
```

---

[2]
# Ca5Tl4Zn

Ca5Tl4Zn after structural relaxation (PBE, the Alexandria database).

Summary:
The formation enthalpy at 0 K is -3.99 eV per formula unit. The space-group type is P4/mmm. As for the calculated total energy: -2.47 eV per atom.

Cell and atoms, written as CIF:
```
data_Ca5Tl4Zn
_space_group_name_H-M_alt 'P 1'
_space_group_IT_number 1
_space_group_name_Hall 'P 1'
_cell_length_a 3.834
_cell_length_b 3.834
_cell_length_c 19.478
_cell_angle_alpha 90.00
_cell_angle_beta 90.00
_cell_angle_gamma 90.00
loop_
_atom_site_label
_atom_site_type_symbol
_atom_site_fract_x
_atom_site_fract_y
_atom_site_fract_z
_atom_site_occupancy
Ca1 Ca 0.000 0.000 0.000 1
Ca2 Ca 0.000 0.000 0.205 1
Ca3 Ca 0.000 0.000 0.409 1
Ca4 Ca 0.000 0.000 0.591 1
Ca5 Ca 0.000 0.000 0.795 1
Tl1 Tl 0.500 0.500 0.102 1
Tl2 Tl 0.500 0.500 0.306 1
Tl3 Tl 0.500 0.500 0.694 1
Tl4 Tl 0.500 0.500 0.898 1
Zn1 Zn 0.500 0.500 0.500 1
```

---

[3]
# Ac8La2Dy

Ac8La2Dy after structural relaxation (PBE, the Alexandria database).

Summary:
The formation enthalpy at 0 K is 1.26 eV per formula unit. The space-group type is Immm. As for the calculated total energy: -4.19 eV per atom.

Cell and atoms, written as CIF:
```
data_Ac8La2Dy
_space_group_name_H-M_alt 'P 1'
_space_group_IT_number 1
_space_group_name_Hall 'P 1'
_cell_length_a 10.277
_cell_length_b 10.277
_cell_length_c 10.277
_cell_angle_alpha 145.61
_cell_angle_beta 128.41
_cell_angle_gamma 63.48
loop_
_atom_site_label
_atom_site_type_symbol
_atom_site_fract_x
_atom_site_fract_y
_atom_site_fract_z
_atom_site_occupancy
Ac1 Ac 0.154 0.363 0.791 1
Ac2 Ac 0.161 0.161 0.000 1
Ac3 Ac 0.291 0.000 0.291 1
Ac4 Ac 0.427 0.637 0.791 1
Ac5 Ac 0.573 0.363 0.209 1
Ac6 Ac 0.709 0.000 0.709 1
Ac7 Ac 0.839 0.839 0.000 1
Ac8 Ac 0.846 0.637 0.209 1
La1 La 0.300 0.800 0.500 1
La2 La 0.700 0.200 0.500 1
Dy1 Dy 0.000 0.500 0.500 1
```

---

Fermi-level density of states values, unit states/eV/atom, following the record order: 1.7782, 0.6088, 1.7249.